# Nd2Sm2DyTm | the Alexandria database | PBE | relaxed
data_Nd2Sm2DyTm
_space_group_name_H-M_alt 'P 1'
_space_group_IT_number 1
_cell_length_a 7.060
_cell_length_b 5.690
_cell_length_c 9.860
_cell_angle_alpha 90.00
_cell_angle_beta 90.00
_cell_angle_gamma 90.00
loop_
_space_group_symop_operation_xyz
'x,y,z'
loop_
_atom_site_label
_atom_site_type_symbol
_atom_site_fract_x
_atom_site_fract_y
_atom_site_fract_z
Nd1 Nd 0.000 0.000 0.000
Nd2 Nd 0.250 0.500 0.178
Nd3 Nd 0.500 0.000 0.000
Nd4 Nd 0.750 0.500 0.822
Sm1 Sm 0.250 0.000 0.331
Sm2 Sm 0.250 0.500 0.837
Sm3 Sm 0.750 0.000 0.669
Sm4 Sm 0.750 0.500 0.163
Dy1 Dy 0.250 0.000 0.658
Dy2 Dy 0.750 0.000 0.342
Tm1 Tm 0.000 0.500 0.500
Tm2 Tm 0.500 0.500 0.500
# Total moment (μB per formula unit): 0.0
# Total energy (eV per atom): -4.614



# PrHoSnRh | the Alexandria database | PBE | relaxed
data_PrHoSnRh
_space_group_name_H-M_alt 'P 1'
_space_group_IT_number 1
_cell_length_a 5.199
_cell_length_b 5.199
_cell_length_c 5.199
_cell_angle_alpha 60.00
_cell_angle_beta 60.00
_cell_angle_gamma 60.00
loop_
_space_group_symop_operation_xyz
'x,y,z'
loop_
_atom_site_label
_atom_site_type_symbol
_atom_site_fract_x
_atom_site_fract_y
_atom_site_fract_z
Pr1 Pr 0.000 0.000 0.000
Ho1 Ho 0.500 0.500 0.500
Sn1 Sn 0.750 0.750 0.750
Rh1 Rh 0.250 0.250 0.250
# Total moment (μB per formula unit): 0.0
# Total energy (eV per atom): -5.758



# CoTeCl3 | the Alexandria database | PBE | relaxed
data_CoTeCl3
_space_group_name_H-M_alt 'P 1'
_space_group_IT_number 1
_cell_length_a 4.771
_cell_length_b 4.771
_cell_length_c 4.771
_cell_angle_alpha 90.00
_cell_angle_beta 90.00
_cell_angle_gamma 90.00
loop_
_space_group_symop_operation_xyz
'x,y,z'
loop_
_atom_site_label
_atom_site_type_symbol
_atom_site_fract_x
_atom_site_fract_y
_atom_site_fract_z
Co1 Co 0.000 0.000 0.000
Te1 Te 0.500 0.500 0.500
Cl1 Cl 0.000 0.000 0.500
Cl2 Cl 0.000 0.500 0.000
Cl3 Cl 0.500 0.000 0.000
# Total moment (μB per formula unit): 1.9
# Raw formation energy (kJ/mol of formula units): 11